1.
Y2ScOs, optimized geometry, DFT PBE; distance to the lowest polymorph of the same formula = 385 meV/atom; formation energy from the elements = 0.121 eV/atom; DOS at the Fermi energy = 4.11 states/eV per cell
1.0
1.707 0.986 9.943
-1.707 0.986 9.943
0.000 -1.971 9.943
Y Sc Os
2 1 1
Direct
0.000 0.000 0.000
0.229 0.229 0.229
0.463 0.463 0.463
0.736 0.736 0.736

2.
RbCuPbS2, optimized geometry, DFT PBE; formation energy from raw total energies = -0.63 eV per atom
1.0
7.791 0.000 0.000
0.000 5.083 0.000
-2.690 0.000 7.692
Rb Cu Pb S
2 2 2 4
Direct
0.000 0.232 0.250
0.000 0.768 0.750
0.500 0.000 0.000
0.500 0.000 0.500
0.500 0.421 0.750
0.500 0.579 0.250
0.275 0.252 0.994
0.275 0.748 0.494
0.725 0.252 0.506
0.725 0.748 0.006

3.
TcNiGe2, optimized geometry, DFT PBE; distance to the lowest polymorph of the same formula = 171 meV/atom; formation energy from the elements = -0.074 eV/atom; DOS at the Fermi energy = 2.94 states/eV per cell
1.0
1.504 0.868 7.368
-1.504 0.868 7.368
0.000 -1.736 7.368
Tc Ni Ge
1 1 2
Direct
0.000 0.000 0.000
0.838 0.838 0.838
0.248 0.248 0.248
0.421 0.421 0.421

4.
Pm8GaCo2, optimized geometry, DFT PBE; formation energy from the elements = -0.049 eV/atom; DOS at the Fermi energy = 13.53 states/eV per cell
1.0
4.288 -6.737 0.000
4.288 6.737 0.000
-1.483 0.000 5.333
Pm Ga Co
8 1 2
Direct
0.079 0.332 0.565
0.241 0.759 0.000
0.332 0.079 0.565
0.386 0.386 0.190
0.614 0.614 0.810
0.668 0.921 0.435
0.759 0.241 0.000
0.921 0.668 0.435
0.000 0.000 0.000
0.293 0.707 0.500
0.707 0.293 0.500

no.,total magnetization (Bohr magnetons per cell)
1,0.0
2,0.0
3,0.0
4,0.0